Below is a relaxed structure of AlCr2CoF, with properties calculated at the PBE+U level.

Results
Theoretical density: 3152 kg/m³
Electronic total energy: -4.410 eV/atom
Size of the total moment: 8.42 μB per formula unit
Volume: 22.01 Å³/atom

a = 5.066 Å, b = 5.066 Å, c = 4.289 Å
α = 90.00°, β = 90.00°, γ = 90.00°
Space group P4/mmm (No. 123)
Inequivalent atoms, fractional coordinates:
Al (0.000, 0.000, 0.000) (multiplicity 1)
Cr (0.000, 0.500, 0.000) (multiplicity 2)
Co (0.000, 0.000, 0.500) (multiplicity 1)
F (0.500, 0.500, 0.500) (multiplicity 1)